Record 1
VASP calculation (PBE-GGA) on a relaxed structure of La4Sm11Tm9.

## Properties
space group	No. 65

Unit cell a=15.228 b=15.228 c=3.716 alpha=90.00 beta=90.00 gamma=112.73
Sites, in units of the cell vectors:
La  0.054  0.255  0.000
La  0.255  0.054  0.000
La  0.745  0.946  0.000
La  0.946  0.745  0.000
Sm  0.094  0.456  0.500
Sm  0.136  0.864  0.500
Sm  0.213  0.213  0.500
Sm  0.341  0.659  0.500
Sm  0.456  0.094  0.500
Sm  0.500  0.500  0.500
Sm  0.544  0.906  0.500
Sm  0.659  0.341  0.500
Sm  0.787  0.787  0.500
Sm  0.864  0.136  0.500
Sm  0.906  0.544  0.500
Tm  0.000  0.000  0.000
Tm  0.136  0.663  0.000
Tm  0.290  0.435  0.000
Tm  0.337  0.864  0.000
Tm  0.435  0.290  0.000
Tm  0.565  0.710  0.000
Tm  0.663  0.136  0.000
Tm  0.710  0.565  0.000
Tm  0.864  0.337  0.000



Record 2
VASP calculation (PBE-GGA) on a relaxed structure of LaSmTm2.

## Properties
polymorph energy (0 for the lowest one)	0.012	eV/atom
space group	No. 123

Unit cell a=3.633 b=3.633 c=9.901 alpha=90.00 beta=90.00 gamma=90.00
Sites, in units of the cell vectors:
La  0.000  0.000  0.000
Sm  0.000  0.000  0.500
Tm  0.500  0.500  0.254
Tm  0.500  0.500  0.746



Record 3
VASP calculation (PBE-GGA) on a relaxed structure of La3Sm4Tm2.

## Properties
polymorph energy (0 for the lowest one)	0.006	eV/atom
space group	No. 12

Unit cell a=6.541 b=6.541 c=9.233 alpha=100.53 beta=100.53 gamma=52.88
Sites, in units of the cell vectors:
La  0.000  0.000  0.000
La  0.123  0.123  0.687
La  0.877  0.877  0.313
Sm  0.227  0.227  0.372
Sm  0.322  0.322  0.039
Sm  0.678  0.678  0.961
Sm  0.773  0.773  0.628
Tm  0.440  0.440  0.692
Tm  0.560  0.560  0.308



Record 4
VASP calculation (PBE-GGA) on a relaxed structure of La3Sm5Tm.

## Properties
space group	No. 12

Unit cell a=7.482 b=7.482 c=12.900 alpha=99.09 beta=99.09 gamma=68.44
Sites, in units of the cell vectors:
La  0.000  0.000  0.000
La  0.000  0.000  0.500
La  0.269  0.269  0.534
La  0.394  0.394  0.786
La  0.606  0.606  0.214
La  0.731  0.731  0.466
Sm  0.056  0.669  0.223
Sm  0.261  0.261  0.030
Sm  0.318  0.682  0.000
Sm  0.331  0.944  0.777
Sm  0.439  0.439  0.377
Sm  0.561  0.561  0.623
Sm  0.669  0.056  0.223
Sm  0.682  0.318  0.000
Sm  0.739  0.739  0.970
Sm  0.944  0.331  0.777
Tm  0.137  0.137  0.263
Tm  0.863  0.863  0.737



Record 5
VASP calculation (PBE-GGA) on a relaxed structure of La2SmTm4.

## Properties
polymorph energy (0 for the lowest one)	0.043	eV/atom
space group	No. 1

Unit cell a=6.055 b=8.531 c=9.577 alpha=88.26 beta=77.86 gamma=71.99
Sites, in units of the cell vectors:
La  0.000  0.000  0.000
La  0.014  0.115  0.648
La  0.161  0.600  0.147
La  0.282  0.151  0.269
Sm  0.128  0.657  0.776
Sm  0.913  0.533  0.501
Tm  0.289  0.263  0.912
Tm  0.371  0.735  0.425
Tm  0.477  0.322  0.556
Tm  0.564  0.885  0.722
Tm  0.602  0.790  0.072
Tm  0.681  0.471  0.853
Tm  0.729  0.378  0.204
Tm  0.809  0.947  0.370



Record 6
VASP calculation (PBE-GGA) on a relaxed structure of La8Sm2Tm.

## Properties
polymorph energy (0 for the lowest one)	0.000	eV/atom
space group	No. 12

Unit cell a=9.748 b=9.748 c=8.249 alpha=104.54 beta=104.54 gamma=31.15
Sites, in units of the cell vectors:
La  0.046  0.046  0.228
La  0.136  0.136  0.682
La  0.319  0.319  0.588
La  0.409  0.409  0.048
La  0.591  0.591  0.952
La  0.681  0.681  0.412
La  0.864  0.864  0.318
La  0.954  0.954  0.772
Sm  0.226  0.226  0.136
Sm  0.774  0.774  0.864
Tm  0.500  0.500  0.500



Record 7
VASP calculation (PBE-GGA) on a relaxed structure of La3Sm2Tm7.

## Properties
space group	No. 10

Unit cell a=6.338 b=3.543 c=17.588 alpha=90.00 beta=96.53 gamma=90.00
Sites, in units of the cell vectors:
La  0.000  0.000  0.000
La  0.045  0.500  0.660
La  0.955  0.500  0.340
Sm  0.447  0.000  0.325
Sm  0.553  0.000  0.675
Tm  0.229  0.500  0.164
Tm  0.247  0.000  0.499
Tm  0.278  0.000  0.836
Tm  0.500  0.500  0.000
Tm  0.722  0.000  0.164
Tm  0.753  0.000  0.501
Tm  0.771  0.500  0.836



Record 8
VASP calculation (PBE-GGA) on a relaxed structure of LaSm2Tm3.

## Properties
space group	No. 12

Unit cell a=9.083 b=9.083 c=14.253 alpha=116.73 beta=116.73 gamma=22.29
Sites, in units of the cell vectors:
La  0.061  0.061  0.146
La  0.939  0.939  0.854
Sm  0.156  0.156  0.967
Sm  0.318  0.318  0.616
Sm  0.682  0.682  0.384
Sm  0.844  0.844  0.033
Tm  0.099  0.099  0.527
Tm  0.236  0.236  0.793
Tm  0.460  0.460  0.295
Tm  0.540  0.540  0.705
Tm  0.764  0.764  0.207
Tm  0.901  0.901  0.473



Record 9
VASP calculation (PBE-GGA) on a relaxed structure of La8Sm2Tm.

## Properties
polymorph energy (0 for the lowest one)	0.107	eV/atom
space group	No. 12

Unit cell a=9.641 b=9.641 c=6.074 alpha=105.50 beta=105.50 gamma=122.45
Sites, in units of the cell vectors:
La  0.096  0.331  0.683
La  0.205  0.795  0.000
La  0.331  0.096  0.683
La  0.419  0.419  0.201
La  0.581  0.581  0.799
La  0.669  0.904  0.317
La  0.795  0.205  0.000
La  0.904  0.669  0.317
Sm  0.310  0.690  0.500
Sm  0.690  0.310  0.500
Tm  0.000  0.000  0.000



Record 10
VASP calculation (PBE-GGA) on a relaxed structure of LaSm3Tm.

## Properties
polymorph energy (0 for the lowest one)	0.000	eV/atom
space group	No. 2

Unit cell a=6.356 b=6.883 c=9.384 alpha=71.69 beta=89.92 gamma=62.53
Sites, in units of the cell vectors:
La  0.130  0.398  0.347
La  0.870  0.602  0.653
Sm  0.070  0.196  0.047
Sm  0.267  0.796  0.447
Sm  0.335  0.996  0.751
Sm  0.665  0.004  0.249
Sm  0.733  0.204  0.553
Sm  0.930  0.804  0.953
Tm  0.466  0.399  0.854
Tm  0.534  0.601  0.146



Record 11
VASP calculation (PBE-GGA) on a relaxed structure of La5Sm4Tm.

## Properties
polymorph energy (0 for the lowest one)	0.017	eV/atom
space group	No. 12

Unit cell a=8.991 b=8.991 c=11.664 alpha=109.09 beta=109.09 gamma=23.29
Sites, in units of the cell vectors:
La  0.000  0.000  0.000
La  0.294  0.294  0.392
La  0.309  0.309  0.916
La  0.691  0.691  0.084
La  0.706  0.706  0.608
Sm  0.105  0.105  0.797
Sm  0.418  0.418  0.705
Sm  0.582  0.582  0.295
Sm  0.895  0.895  0.203
Tm  0.000  0.000  0.500



Record 12
VASP calculation (PBE-GGA) on a relaxed structure of La8SmTm4.

## Properties
space group	No. 166

Unit cell a=10.828 b=10.828 c=10.828 alpha=38.99 beta=38.99 gamma=38.99
Sites, in units of the cell vectors:
La  0.207  0.753  0.753
La  0.210  0.210  0.210
La  0.247  0.247  0.793
La  0.247  0.793  0.247
La  0.753  0.207  0.753
La  0.753  0.753  0.207
La  0.790  0.790  0.790
La  0.793  0.247  0.247
Sm  0.500  0.500  0.500
Tm  0.000  0.000  0.000
Tm  0.000  0.500  0.500
Tm  0.500  0.000  0.500
Tm  0.500  0.500  0.000



Taking the records one at a time from the top gives total DFT energy (no corrections) values of -4.585, -4.616, -4.628, -4.353, -4.565, -4.831, -4.530, -4.512, -4.724, -4.684, -4.761, -4.610 eV per atom.
Taking the records one at a time from the top gives E_form values of 0.076, 0.031, 0.105, 0.408, 0.072, 0.017, 0.097, 0.118, 0.124, 0.027, 0.038, 0.161 eV per atom.
Taking the records one at a time from the top gives V values of 33.11, 32.67, 34.26, 36.62, 32.83, 35.59, 32.71, 33.02, 36.03, 34.07, 35.13, 34.77 Å³ per atom.